Material: Sc4Ga2Ir
Method: DFT, PBE
State: optimized geometry

Cell lengths 5.0357, 5.0357, 7.6008 Å; angles 70.65, 70.65, 90.00 degrees
Atoms (fractional coordinates):
Ga1 0.6104 0.6104 0.7793
Ga2 0.3896 0.3896 0.2207
Sc1 0.1869 0.1869 0.6262
Sc2 0.8131 0.8131 0.3738
Sc3 0.5000 0.0000 0.0000
Sc4 0.0000 0.5000 0.0000
Ir1 0.0000 0.0000 0.0000

Properties
E_tot (eV per atom): -6.01
Calculated density (g/cm3): 5.0